No. 1
Material: Tb4Bi3H2
Method: DFT, PBE-GGA
State: optimized geometry

Properties
energy: -171.834 eV/cell
DOS(E_F): 9.66 states/eV/cell

Geometry as CIF:
```
data_Tb4Bi3H2
_chemical_formula_sum 'Tb16 Bi12 H8'
_space_group_name_H-M_alt 'C 1 2/c 1'
_space_group_IT_number 15
_cell_length_a 12.506
_cell_length_b 10.040
_cell_length_c 7.400
_cell_angle_alpha 90.00
_cell_angle_beta 101.55
_cell_angle_gamma 90.00
loop_
_space_group_symop_operation_xyz
'x,y,z'
'-x,-y,-z'
'-x,y,-z+1/2'
'x,-y,z+1/2'
'x+1/2,y+1/2,z'
'-x+1/2,-y+1/2,-z'
'-x+1/2,y+1/2,-z+1/2'
'x+1/2,-y+1/2,z+1/2'
loop_
_atom_site_label
_atom_site_fract_x
_atom_site_fract_y
_atom_site_fract_z
Tb1 0.111 0.184 0.012
Tb2 0.169 0.439 0.620
Bi1 0.000 0.380 0.250
Bi2 0.147 0.121 0.615
H1 0.200 0.369 0.935
```

No. 2
Material: LaCr3Tc
Method: DFT, PBE-GGA
State: optimized geometry

Properties
distance to the lowest polymorph of the same formula: 0.000 eV/atom
DOS(E_F): 6.35 states/eV/cell

Geometry as CIF:
```
data_LaCr3Tc
_chemical_formula_sum 'La1 Cr3 Tc1'
_space_group_name_H-M_alt 'P m -3 m'
_space_group_IT_number 221
_space_group_name_Hall '-P 4 2 3'
_cell_length_a 4.708
_cell_length_b 4.708
_cell_length_c 4.708
_cell_angle_alpha 90.00
_cell_angle_beta 90.00
_cell_angle_gamma 90.00
loop_
_atom_site_label
_atom_site_fract_x
_atom_site_fract_y
_atom_site_fract_z
La1 0.000 0.000 0.000
Cr1 0.000 0.500 0.500
Tc1 0.500 0.500 0.500
```

No. 3
Material: Mg4Cd4Ga
Method: DFT, PBE-GGA
State: optimized geometry

Properties
energy: -27.422 eV/cell
DOS(E_F): 6.84 states/eV/cell

Geometry as CIF:
```
data_Mg4Cd4Ga
_chemical_formula_sum 'Mg8 Cd8 Ga2'
_space_group_name_H-M_alt 'I 4/m m m'
_space_group_IT_number 139
_space_group_name_Hall '-I 4 2'
_cell_length_a 9.454
_cell_length_b 9.454
_cell_length_c 4.308
_cell_angle_alpha 90.00
_cell_angle_beta 90.00
_cell_angle_gamma 90.00
loop_
_atom_site_label
_atom_site_fract_x
_atom_site_fract_y
_atom_site_fract_z
Mg1 0.164 0.164 0.000
Cd1 0.000 0.330 0.500
Ga1 0.000 0.000 0.500
```

Looking at mass density for the records above, in order, we have 9.228; 6.252; 5.318 g/cm3.